The following is a DFT calculation (PBE) of an optimized crystal structure of BaBeBr. Values from VASP.

Geometry as Quantum ESPRESSO input:
```
&SYSTEM
  ibrav = 0, nat = 3, ntyp = 3
/
ATOMIC_SPECIES
Be 9.01 Be.upf
Ba 137.33 Ba.upf
Br 79.90 Br.upf
CELL_PARAMETERS angstrom
-1.569 -4.104 1.570
1.822 0.318 -4.284
6.114 -1.382 2.498
ATOMIC_POSITIONS crystal
Be 0.667 0.333 0.288
Ba 0.000 0.000 0.989
Br 0.333 0.667 0.722
```

Calculated density, Mg/m³: 2.95
Total magnetization, μB per formula unit: 0.8
Formation energy (no corrections), kJ/mol of atoms: -3.88
Raw total energy, eV for the cell shown: -7.4
E above lowest polymorph, eV/atom: 0.2275
Space group: P3m1 (156)



The following is a DFT calculation (PBE) of an optimized crystal structure of BaBeBr. Values from VASP.

Geometry as Quantum ESPRESSO input:
```
&SYSTEM
  ibrav = 0, nat = 3, ntyp = 3
/
ATOMIC_SPECIES
Ba 137.33 Ba.upf
Br 79.90 Br.upf
Be 9.01 Be.upf
CELL_PARAMETERS angstrom
4.703 0.013 -0.002
2.337 4.846 -0.036
2.348 0.310 4.837
ATOMIC_POSITIONS crystal
Ba 0.032 0.704 0.989
Br 0.878 0.357 0.642
Be 0.193 0.042 0.329
```

Calculated density, Mg/m³: 3.41
Total magnetization, μB per formula unit: 0.9
Formation energy (no corrections), kJ/mol of atoms: -17.16
Raw total energy, eV for the cell shown: -7.9
E above lowest polymorph, eV/atom: 0.0899
Space group: Cm (8)



The following is a DFT calculation (PBE) of an optimized crystal structure of Ba2Be2Br. Values from VASP.

Geometry as Quantum ESPRESSO input:
```
&SYSTEM
  ibrav = 0, nat = 5, ntyp = 3
/
ATOMIC_SPECIES
Br 79.90 Br.upf
Ba 137.33 Ba.upf
Be 9.01 Be.upf
CELL_PARAMETERS angstrom
3.843 0.000 0.000
0.000 3.843 0.000
1.921 1.921 9.904
ATOMIC_POSITIONS crystal
Br 0.000 0.000 0.000
Ba 0.616 0.616 0.768
Be 0.750 0.250 0.500
Be 0.250 0.750 0.500
Ba 0.384 0.384 0.232
```

Calculated density, Mg/m³: 4.23
Total magnetization, μB per formula unit: 0.0
Formation energy (no corrections), kJ/mol of atoms: 1.78
Raw total energy, eV for the cell shown: -12.9
E above lowest polymorph, eV/atom: 0.0956
Space group: I4/mmm (139)



The following is a DFT calculation (PBE) of an optimized crystal structure of BaBe3Br. Values from VASP.

Geometry as Quantum ESPRESSO input:
```
&SYSTEM
  ibrav = 0, nat = 5, ntyp = 3
/
ATOMIC_SPECIES
Be 9.01 Be.upf
Br 79.90 Br.upf
Ba 137.33 Ba.upf
CELL_PARAMETERS angstrom
-0.706 -3.892 2.971
-2.673 -2.209 -3.528
4.102 -2.109 -1.788
ATOMIC_POSITIONS crystal
Be 0.500 0.000 0.000
Br 0.000 0.000 0.000
Be 0.000 0.000 0.500
Ba 0.500 0.500 0.500
Be 0.000 0.500 0.000
```

Calculated density, Mg/m³: 3.35
Total magnetization, μB per formula unit: 0.0
Formation energy (no corrections), kJ/mol of atoms: 115.18
Raw total energy, eV for the cell shown: -8.8
E above lowest polymorph, eV/atom: 0.0000
Space group: Pm-3m (221)